Compound: Sb2BrF
Source: the Alexandria database
Functional: PBE
Structure: relaxed

Cell and atoms, written as CIF:
```
data_Sb2BrF
_space_group_name_H-M_alt 'P 1'
_space_group_IT_number 1
_cell_length_a 7.114
_cell_length_b 7.114
_cell_length_c 7.114
_cell_angle_alpha 90.00
_cell_angle_beta 90.00
_cell_angle_gamma 90.00
loop_
_space_group_symop_operation_xyz
'x,y,z'
loop_
_atom_site_label
_atom_site_type_symbol
_atom_site_fract_x
_atom_site_fract_y
_atom_site_fract_z
Sb1 Sb 0.250 0.250 0.250
Sb2 Sb 0.250 0.250 0.750
Sb3 Sb 0.250 0.750 0.250
Sb4 Sb 0.250 0.750 0.750
Sb5 Sb 0.750 0.250 0.250
Sb6 Sb 0.750 0.250 0.750
Sb7 Sb 0.750 0.750 0.250
Sb8 Sb 0.750 0.750 0.750
Br1 Br 0.000 0.000 0.000
Br2 Br 0.000 0.500 0.500
Br3 Br 0.500 0.000 0.500
Br4 Br 0.500 0.500 0.000
F1 F 0.000 0.000 0.500
F2 F 0.000 0.500 0.000
F3 F 0.500 0.000 0.000
F4 F 0.500 0.500 0.500
```

Calculated values
ΔE_f (raw)	-0.102	eV per atom
excess energy over the best structure of this formula in the dataset	0.446	eV per atom

---

Compound: YBeMo
Source: the Alexandria database
Functional: PBE
Structure: relaxed

Cell and atoms, written as CIF:
```
data_YBeMo
_space_group_name_H-M_alt 'P 1'
_space_group_IT_number 1
_cell_length_a 6.110
_cell_length_b 6.110
_cell_length_c 6.110
_cell_angle_alpha 90.00
_cell_angle_beta 90.00
_cell_angle_gamma 90.00
loop_
_space_group_symop_operation_xyz
'x,y,z'
loop_
_atom_site_label
_atom_site_type_symbol
_atom_site_fract_x
_atom_site_fract_y
_atom_site_fract_z
Y1 Y 0.000 0.000 0.000
Y2 Y 0.000 0.500 0.500
Y3 Y 0.500 0.000 0.500
Y4 Y 0.500 0.500 0.000
Be1 Be 0.250 0.250 0.750
Be2 Be 0.250 0.750 0.250
Be3 Be 0.750 0.250 0.250
Be4 Be 0.750 0.750 0.750
Mo1 Mo 0.000 0.000 0.500
Mo2 Mo 0.000 0.500 0.000
Mo3 Mo 0.500 0.000 0.000
Mo4 Mo 0.500 0.500 0.500
```

Calculated values
energy of formation	0.6412	eV per atom
excess energy over the best structure of this formula in the dataset	0.393	eV per atom

---

Number 1: total moment 0.0 μB per formula unit. Number 2: total moment 0.7 μB per formula unit.